# YTlCuCl5, relaxed, DFT PBE
# * total energy: -136.6 eV/cell
# * uncorrected formation energy: -1156 kJ/mol of formula units
# * total moment: 0.6 μB per cell
data_YTlCuCl5
_chemical_formula_sum 'Y4 Tl4 Cu4 Cl20'
_cell_length_a 8.8168
_cell_length_b 11.8821
_cell_length_c 10.0075
_cell_angle_alpha 90.00
_cell_angle_beta 113.43
_cell_angle_gamma 90.00
_space_group_name_H-M_alt 'C 1 2/c 1'
_space_group_IT_number 15
loop_
_space_group_symop_operation_xyz
'x,y,z'
'-x,-y,-z'
'-x,y,-z+1/2'
'x,-y,z+1/2'
'x+1/2,y+1/2,z'
'-x+1/2,-y+1/2,-z'
'-x+1/2,y+1/2,-z+1/2'
'x+1/2,-y+1/2,z+1/2'
loop_
_atom_site_label
_atom_site_fract_x
_atom_site_fract_y
_atom_site_fract_z
Y1 0.0000 0.0000 0.0000
Tl1 0.0000 0.3510 0.2500
Cu1 0.0000 0.3083 0.7500
Cl1 0.0000 0.0771 0.2500
Cl2 0.1052 0.2025 0.6113
Cl3 0.1899 0.4320 0.9228